Below is Mg2Ga5 at its PBEsol-relaxed geometry, with properties calculated at the SCAN level.

Cell and atoms, written as extended XYZ:
```
14
Lattice="-4.262 4.262 3.554 4.262 -4.262 3.554 4.262 4.262 -3.554" Properties=species:S:1:pos:R:3 pbc="T T T"
Mg 1.700 1.700 0.000
Mg 2.562 -2.562 3.554
Mg -2.562 2.562 3.554
Mg 2.562 2.562 3.554
Ga 4.262 1.724 -1.285
Ga 0.000 0.000 1.520
Ga 1.724 4.262 -1.285
Ga 2.538 0.000 2.269
Ga 4.262 1.724 1.285
Ga 0.000 2.538 2.269
Ga 1.724 4.262 1.285
Ga 2.538 0.000 4.839
Ga 0.000 0.000 5.588
Ga 0.000 2.538 4.839
```

Values from the calculation:
Electronic total energy = -13.26 eV/atom
Density of states at the Fermi level = 3.19 states/eV per cell


Below is CrIr4Cl at its PBEsol-relaxed geometry, with properties calculated at the SCAN level.

Cell and atoms, written as extended XYZ:
```
6
Lattice="0.000 3.653 3.653 3.653 0.000 3.653 3.653 3.653 0.000" Properties=species:S:1:pos:R:3 pbc="T T T"
Cr 0.000 0.000 0.000
Ir 4.568 2.739 2.739
Ir 2.739 4.568 2.739
Ir 2.739 2.739 4.568
Ir 4.568 4.568 4.568
Cl 1.827 1.827 1.827
```

Values from the calculation:
Electronic total energy = -50.99 eV/atom
ΔE_f (raw) = 0.80 eV/atom
Density of states at the Fermi level = 5.86 states/eV per cell


Below is InIrW2 at its PBEsol-relaxed geometry, with properties calculated at the SCAN level.

Cell and atoms, written as extended XYZ:
```
4
Lattice="3.844 0.000 0.000 0.000 3.844 0.000 0.000 0.000 4.354" Properties=species:S:1:pos:R:3 pbc="T T T"
In 0.000 0.000 0.000
Ir 1.922 1.922 0.000
W 0.000 1.922 2.177
W 1.922 0.000 2.177
```

Values from the calculation:
Electronic total energy = -60.63 eV/atom
Density of states at the Fermi level = 2.95 states/eV per cell


Below is TcPt4Au at its PBEsol-relaxed geometry, with properties calculated at the SCAN level.

Cell and atoms, written as extended XYZ:
```
6
Lattice="0.000 3.657 3.657 3.657 0.000 3.657 3.657 3.657 0.000" Properties=species:S:1:pos:R:3 pbc="T T T"
Tc 0.000 0.000 0.000
Pt 4.572 2.743 2.743
Pt 2.743 4.572 2.743
Pt 2.743 2.743 4.572
Pt 4.572 4.572 4.572
Au 1.829 1.829 1.829
```

Values from the calculation:
Electronic total energy = -63.93 eV/atom
Density of states at the Fermi level = 2.95 states/eV per cell


Below is ScFeMo2 at its PBEsol-relaxed geometry, with properties calculated at the SCAN level.

Cell and atoms, written as extended XYZ:
```
8
Lattice="3.192 0.000 0.000 0.000 4.394 0.000 0.000 0.000 8.607" Properties=species:S:1:pos:R:3 pbc="T T T"
Sc 0.000 0.000 0.000
Sc 1.596 2.197 0.000
Fe 0.000 2.197 2.085
Fe 1.596 0.000 2.085
Mo 0.000 0.000 3.994
Mo 0.000 2.197 6.177
Mo 1.596 0.000 6.177
Mo 1.596 2.197 3.994
```

Values from the calculation:
Excess energy over the best structure of this formula in the dataset = 0.060 eV/atom
Electronic total energy = -25.35 eV/atom
Density of states at the Fermi level = 6.27 states/eV per cell


Below is Sr2GdCu2HgO7 at its PBEsol-relaxed geometry, with properties calculated at the SCAN level.

Cell and atoms, written as extended XYZ:
```
13
Lattice="3.770 0.000 0.000 0.000 3.770 0.000 0.000 0.000 11.962" Properties=species:S:1:pos:R:3 pbc="T T T"
Sr 0.000 0.000 2.405
Sr 0.000 0.000 9.557
Gd 0.000 0.000 5.981
Cu 1.885 1.885 4.246
Cu 1.885 1.885 7.715
Hg 1.885 1.885 0.000
O 0.000 0.000 0.000
O 0.000 1.885 4.510
O 0.000 1.885 7.451
O 1.885 0.000 4.510
O 1.885 0.000 7.451
O 1.885 1.885 2.105
O 1.885 1.885 9.857
```

Values from the calculation:
Electronic total energy = -20.87 eV/atom
ΔE_f (raw) = -1.98 eV/atom
Density of states at the Fermi level = 3.26 states/eV per cell


Below is TaPS3 at its PBEsol-relaxed geometry, with properties calculated at the SCAN level.

Cell and atoms, written as extended XYZ:
```
5
Lattice="4.734 0.000 0.000 0.000 4.734 0.000 0.000 0.000 4.734" Properties=species:S:1:pos:R:3 pbc="T T T"
Ta 0.000 0.000 0.000
P 2.367 2.367 2.367
S 0.000 0.000 2.367
S 0.000 2.367 0.000
S 2.367 0.000 0.000
```

Values from the calculation:
Electronic total energy = -20.96 eV/atom
ΔE_f (raw) = 0.21 eV/atom
Density of states at the Fermi level = 2.83 states/eV per cell


Below is AlMo4 at its PBEsol-relaxed geometry, with properties calculated at the SCAN level.

Cell and atoms, written as extended XYZ:
```
10
Lattice="6.933 0.000 0.000 0.000 6.933 0.000 0.000 0.000 3.143" Properties=species:S:1:pos:R:3 pbc="T T T"
Al 0.000 0.000 0.000
Al 3.467 3.467 1.571
Mo 0.761 2.127 1.571
Mo 1.339 4.227 0.000
Mo 2.127 6.172 1.571
Mo 2.706 1.339 0.000
Mo 4.227 5.594 0.000
Mo 4.806 0.761 1.571
Mo 5.594 2.706 0.000
Mo 6.172 4.806 1.571
```

Values from the calculation:
Electronic total energy = -29.60 eV/atom
Density of states at the Fermi level = 5.34 states/eV per cell


Below is Hf3TeI at its PBEsol-relaxed geometry, with properties calculated at the SCAN level.

Cell and atoms, written as extended XYZ:
```
5
Lattice="5.225 0.000 0.000 0.000 5.225 0.000 0.000 0.000 5.225" Properties=species:S:1:pos:R:3 pbc="T T T"
Hf 0.000 0.000 2.613
Hf 0.000 2.613 0.000
Hf 2.613 0.000 0.000
Te 0.000 0.000 0.000
I 2.613 2.613 2.613
```

Values from the calculation:
Electronic total energy = -51.25 eV/atom
ΔE_f (raw) = 1.15 eV/atom
Density of states at the Fermi level = 5.33 states/eV per cell


Below is HgW at its PBEsol-relaxed geometry, with properties calculated at the SCAN level.

Cell and atoms, written as extended XYZ:
```
8
Lattice="5.423 0.000 0.000 0.000 5.423 0.000 0.000 0.000 5.423" Properties=species:S:1:pos:R:3 pbc="T T T"
Hg 0.000 0.000 0.000
Hg 0.000 2.711 2.711
Hg 2.711 0.000 2.711
Hg 2.711 2.711 0.000
W 0.000 0.000 2.711
W 0.000 2.711 0.000
W 2.711 0.000 0.000
W 2.711 2.711 2.711
```

Values from the calculation:
Excess energy over the best structure of this formula in the dataset = 1.086 eV/atom
Electronic total energy = -66.98 eV/atom
Density of states at the Fermi level = 5.99 states/eV per cell


Below is TaTlOs at its PBEsol-relaxed geometry, with properties calculated at the SCAN level.

Cell and atoms, written as extended XYZ:
```
12
Lattice="6.271 0.000 0.000 0.000 6.271 0.000 0.000 0.000 6.271" Properties=species:S:1:pos:R:3 pbc="T T T"
Ta 0.000 0.000 0.000
Ta 0.000 3.135 3.135
Ta 3.135 0.000 3.135
Ta 3.135 3.135 0.000
Tl 1.568 1.568 1.568
Tl 1.568 4.703 4.703
Tl 4.703 1.568 4.703
Tl 4.703 4.703 1.568
Os 1.568 1.568 4.703
Os 1.568 4.703 1.568
Os 4.703 1.568 1.568
Os 4.703 4.703 4.703
```

Values from the calculation:
Excess energy over the best structure of this formula in the dataset = 0.000 eV/atom
Electronic total energy = -69.43 eV/atom
Density of states at the Fermi level = 6.77 states/eV per cell


Below is Li2WAu at its PBEsol-relaxed geometry, with properties calculated at the SCAN level.

Cell and atoms, written as extended XYZ:
```
8
Lattice="9.330 0.000 0.000 0.000 2.630 0.000 -0.597 0.000 5.039" Properties=species:S:1:pos:R:3 pbc="T T T"
Li 0.000 0.000 0.000
Li 1.751 0.000 4.113
Li 4.665 1.315 0.000
Li 6.416 1.315 4.113
W 4.206 0.000 2.453
W 8.871 1.315 2.453
Au 2.002 1.315 1.568
Au 6.667 0.000 1.568
```

Values from the calculation:
Excess energy over the best structure of this formula in the dataset = 0.080 eV/atom
Electronic total energy = -35.67 eV/atom
Density of states at the Fermi level = 4.56 states/eV per cell